1.
MnInGa2Se6 (PBE, optimized geometry); symmetry = C2/c (15); E_form (uncorrected) = -4.56 eV per formula unit
1.0
6.388 -5.876 0.000
6.388 5.876 0.000
-1.453 0.000 6.575
Mn In Ga Se
2 2 4 12
Cartesian
5.299 4.723 4.932
6.025 -4.723 1.644
6.025 2.789 1.644
5.299 -2.789 4.932
2.929 1.092 4.627
3.655 -1.092 1.339
7.668 1.092 5.237
8.395 -1.092 1.949
0.493 0.897 4.032
3.409 3.180 5.786
1.220 -0.897 0.745
4.160 0.936 2.557
7.189 3.180 4.077
3.433 -0.936 5.844
7.891 0.936 0.731
4.135 -3.180 2.498
7.164 -0.936 4.019
10.104 0.897 5.831
7.915 -3.180 0.789
10.831 -0.897 2.543

---

2.
MnIn2GaSe6 (PBE, optimized geometry); symmetry = C2/c (15); E_form (uncorrected) = -4.09 eV per formula unit
1.0
6.467 -5.847 0.000
6.467 5.847 0.000
-1.001 0.000 6.772
Mn In Ga Se
2 4 2 12
Cartesian
5.716 4.800 5.079
6.217 -4.800 1.693
3.395 1.111 4.833
3.896 -1.111 1.447
8.038 1.111 5.326
8.538 -1.111 1.939
6.217 2.927 1.693
5.716 -2.927 5.079
0.747 0.925 4.145
4.012 3.255 6.194
1.247 -0.925 0.759
4.293 1.296 2.389
7.420 3.255 3.965
3.793 -1.296 5.775
8.140 1.296 0.998
4.513 -3.255 2.807
7.640 -1.296 4.384
10.686 0.925 6.013
7.921 -3.255 0.579
11.187 -0.925 2.627

---

3.
MnInGaSn2 (PBE, optimized geometry); formation energy from the elements = 0.68 eV per formula unit; symmetry = P4/mmm (123)
1.0
5.041 0.000 0.000
0.000 5.041 0.000
0.000 0.000 4.782
Mn In Ga Sn
1 1 1 2
Cartesian
0.000 0.000 0.000
2.520 2.520 2.391
0.000 0.000 2.391
0.000 2.520 0.000
2.520 0.000 0.000

---

no.,D(E_F) (states/eV/f.u.),volume (Å³/f.u.)
1,1.656,246.8
2,2.003,256.1
3,2.813,121.5